16
Lattice="10.9832 0.0000 0.0000 0.0000 8.2576 0.0000 0.0000 0.0000 5.5073" Properties=species:S:1:pos:R:3 comment="BaNa3Tl4, optimized geometry, DFT PBE" e_form_ev_per_fu=-1.31 crystal_system=orthorhombic pbc="T T T"
Ba 0.0000 0.0000 0.0000
Ba 5.4916 0.0000 0.0000
Na 0.0000 4.1288 0.0000
Na 2.7458 0.0000 2.7012
Na 2.7458 4.1288 2.5644
Na 5.4916 4.1288 0.0000
Na 8.2374 0.0000 2.8062
Na 8.2374 4.1288 2.9429
Tl 0.0000 2.3401 2.7537
Tl 0.0000 5.9175 2.7537
Tl 2.7458 2.3378 5.3118
Tl 2.7458 5.9199 5.3118
Tl 5.4916 2.3401 2.7537
Tl 5.4916 5.9175 2.7537
Tl 8.2374 2.3378 0.1955
Tl 8.2374 5.9199 0.1955

---

19
Lattice="10.0258 -4.0270 0.0000 10.0258 4.0270 0.0000 -0.9506 0.0000 8.3286" Properties=species:S:1:pos:R:3 comment="Ba5Na2Tl12, optimized geometry, DFT PBE" e_form_ev_per_fu=-4.80 crystal_system=monoclinic pbc="T T T"
Ba 0.0000 0.0000 0.0000
Ba 3.9625 0.0000 7.6941
Ba 5.6814 0.0000 3.7735
Ba 13.4195 0.0000 4.5551
Ba 15.1384 0.0000 0.6344
Na 9.5504 1.9959 4.1643
Na 9.5504 -1.9959 4.1643
Tl 6.3069 2.4156 6.3647
Tl 2.0176 0.0000 4.7358
Tl 7.7262 1.5828 1.2828
Tl 12.7940 2.4156 1.9639
Tl 11.3747 1.5828 7.0458
Tl 8.4277 0.0000 6.7855
Tl 10.6732 0.0000 1.5431
Tl 7.7262 -1.5828 1.2828
Tl 6.3069 -2.4156 6.3647
Tl 11.3747 -1.5828 7.0458
Tl 17.0833 0.0000 3.5928
Tl 12.7940 -2.4156 1.9639

---

19
Lattice="5.9633 3.4429 5.0790 -5.9633 3.4429 5.0790 0.0000 -6.8858 5.0790" Properties=species:S:1:pos:R:3 comment="BaNa12Tl6, optimized geometry, DFT PBE" e_form_ev_per_fu=-1.34 relative_energy_ev_per_fu=0.00 crystal_system=trigonal pbc="T T T"
Ba 0.0000 0.0000 0.0000
Na -2.1991 0.3378 2.9961
Na 0.8070 -2.0733 2.9961
Na -2.3164 -0.6247 6.3658
Na 1.3920 1.7356 2.9961
Na -0.6172 -2.3184 8.8711
Na 1.6992 -1.6937 6.3658
Na -1.6992 1.6937 8.8711
Na 0.6172 2.3184 6.3658
Na -1.3920 -1.7356 12.2408
Na 2.3164 0.6247 8.8711
Na -0.8070 2.0733 12.2408
Na 2.1991 -0.3378 12.2408
Tl -0.8825 -3.5502 5.5778
Tl -2.6333 2.5394 5.5778
Tl -3.5158 -1.0108 9.6591
Tl 3.5158 1.0108 5.5778
Tl 2.6333 -2.5394 9.6591
Tl 0.8825 3.5502 9.6591

---

10
Lattice="5.1019 0.0000 0.0000 0.0000 5.1019 0.0000 0.0000 0.0000 13.0889" Properties=species:S:1:pos:R:3 comment="BaNaTl3, optimized geometry, DFT PBE" e_form_ev_per_fu=-0.99 relative_energy_ev_per_fu=0.00 crystal_system=tetragonal pbc="T T T"
Ba 0.0000 0.0000 0.0000
Ba 2.5509 2.5509 6.5445
Na 0.0000 0.0000 8.1845
Na 2.5509 2.5509 1.6400
Tl 0.0000 0.0000 5.2353
Tl 0.0000 2.5509 3.3513
Tl 0.0000 2.5509 9.8958
Tl 2.5509 0.0000 3.3513
Tl 2.5509 0.0000 9.8958
Tl 2.5509 2.5509 11.7798

---

12
Lattice="8.1171 0.0000 0.0000 0.0000 8.1171 0.0000 0.0000 0.0000 8.1171" Properties=species:S:1:pos:R:3 comment="BaNaTl, optimized geometry, DFT PBE" e_form_ev_per_fu=-0.26 relative_energy_ev_per_fu=0.39 crystal_system=cubic pbc="T T T"
Ba 0.0000 0.0000 0.0000
Ba 0.0000 4.0586 4.0586
Ba 4.0586 0.0000 4.0586
Ba 4.0586 4.0586 0.0000
Na 0.0000 0.0000 4.0586
Na 0.0000 4.0586 0.0000
Na 4.0586 0.0000 0.0000
Na 4.0586 4.0586 4.0586
Tl 2.0293 2.0293 2.0293
Tl 2.0293 6.0879 6.0879
Tl 6.0879 2.0293 6.0879
Tl 6.0879 6.0879 2.0293

---

10
Lattice="3.1113 -12.1045 0.0000 3.1113 12.1045 0.0000 0.0000 0.0000 6.2266" Properties=species:S:1:pos:R:3 comment="Ba3NaTl, optimized geometry, DFT PBE" e_form_ev_per_fu=-0.83 relative_energy_ev_per_fu=0.00 crystal_system=orthorhombic pbc="T T T"
Ba 3.1113 10.3978 4.6700
Ba 3.1113 6.0772 4.6700
Ba 3.1113 1.7669 4.6700
Ba 3.1113 -1.7669 1.5567
Ba 3.1113 -6.0772 1.5567
Ba 3.1113 -10.3978 1.5567
Na 3.1113 3.8934 1.5567
Na 3.1113 -3.8934 4.6700
Tl 3.1113 8.3260 1.5567
Tl 3.1113 -8.3260 4.6700